(1)
Entry from Alexandria: a relaxed structure of LaPm2SmHo2 (PBE).

## Properties
Spin magnetization: 0.00 μB per formula unit
Electronic total energy: -4.46 eV per atom

Structure (POSCAR):
```
LaPm2SmHo2
1.0
3.422 0.000 0.000
0.000 6.592 0.000
0.000 0.000 18.325
Ho Pm La Sm
4 4 2 2
direct
0.500 0.213 0.647
0.000 0.713 0.853
0.500 0.787 0.353
0.000 0.287 0.147
0.000 0.784 0.190
0.000 0.216 0.810
0.500 0.716 0.690
0.500 0.284 0.310
0.500 0.500 0.500
0.000 0.000 0.000
0.000 0.000 0.500
0.500 0.500 0.000
```

(2)
Entry from Alexandria: a relaxed structure of TbPm4Ho15 (PBE).

## Properties
Spin magnetization: 0.00 μB per formula unit
Electronic total energy: -4.60 eV per atom

Structure (POSCAR):
```
TbPm4Ho15
1.0
5.025 0.000 0.000
0.000 5.025 0.000
0.000 0.000 25.055
Ho Pm Tb
15 4 1
direct
0.500 0.000 0.099
0.500 0.500 0.600
0.000 0.500 0.300
0.500 0.000 0.901
0.500 0.000 0.700
0.000 0.500 0.099
0.000 0.500 0.700
0.500 0.500 0.199
0.500 0.000 0.300
0.500 0.500 0.000
0.500 0.500 0.400
0.000 0.500 0.500
0.500 0.000 0.500
0.500 0.500 0.801
0.000 0.500 0.901
0.000 0.000 0.400
0.000 0.000 0.600
0.000 0.000 0.800
0.000 0.000 0.200
0.000 0.000 0.000
```

(3)
Entry from Alexandria: a relaxed structure of Cr2TcPt (PBE).

## Properties
Spin magnetization: 0.00 μB per formula unit
Electronic total energy: -8.90 eV per atom

Structure (POSCAR):
```
Cr2TcPt
1.0
-0.988 -1.439 -2.031
1.609 -2.036 0.660
-5.341 -2.748 4.546
Tc Cr Pt
1 2 1
direct
0.500 0.500 0.750
0.000 0.000 0.992
0.000 0.000 0.508
0.500 0.500 0.250
```